Below is crystalline BaRh2SF at its relaxed geometry, with properties calculated at the GGA-PBEsol level.

Cell lengths 5.149, 5.149, 4.549 Å; angles 90.00, 90.00, 90.00 degrees
Fractional positions:
Ba: 0.000 0.000 0.000
Rh: 0.000 0.500 0.000
Rh: 0.500 0.000 0.000
S: 0.500 0.500 0.500
F: 0.000 0.000 0.500

## Properties
energy = -4.138 eV per atom
D(E_F) = 1.833 states/eV/atom